(1)
This record from Alexandria describes a crystal of SiTePt relaxed with PBEsol. The functional is meta-GGA SCAN.

Unit cell a=6.1504 b=6.2368 c=12.4361 alpha=90.00 beta=90.00 gamma=90.00
Last column: nearest neighbours and their distance in Å.
Fractional positions:
Si 0.1304 0.1662 0.0609  3 Pt 2.39-2.41, 1 Te 2.61
Si 0.1304 0.3338 0.5609  3 Pt 2.39-2.41, 1 Te 2.61
Si 0.3696 0.6662 0.0609  3 Pt 2.39-2.41, 1 Te 2.61
Si 0.3696 0.8338 0.5609  3 Pt 2.39-2.41, 1 Te 2.61
Si 0.6304 0.1662 0.4391  3 Pt 2.39-2.41, 1 Te 2.61
Si 0.6304 0.3338 0.9391  3 Pt 2.39-2.41, 1 Te 2.61
Si 0.8696 0.6662 0.4391  3 Pt 2.39-2.41, 1 Te 2.61
Si 0.8696 0.8338 0.9391  3 Pt 2.39-2.41, 1 Te 2.61
Te 0.1173 0.5830 0.8248  1 Si 2.61, 3 Pt 2.69-2.75
Te 0.1173 0.9170 0.3248  1 Si 2.61, 3 Pt 2.69-2.75
Te 0.3827 0.0830 0.8248  1 Si 2.61, 3 Pt 2.69-2.75
Te 0.3827 0.4170 0.3248  1 Si 2.61, 3 Pt 2.69-2.75
Te 0.6173 0.5830 0.6752  1 Si 2.61, 3 Pt 2.69-2.75
Te 0.6173 0.9170 0.1752  1 Si 2.61, 3 Pt 2.69-2.75
Te 0.8827 0.0830 0.6752  1 Si 2.61, 3 Pt 2.69-2.75
Te 0.8827 0.4170 0.1752  1 Si 2.61, 3 Pt 2.69-2.75
Pt 0.0243 0.6877 0.6150  3 Si 2.39-2.41
Pt 0.0243 0.8123 0.1150  3 Si 2.39-2.41
Pt 0.4757 0.1877 0.6150  3 Si 2.39-2.41
Pt 0.4757 0.3123 0.1150  3 Si 2.39-2.41
Pt 0.5243 0.6877 0.8850  3 Si 2.39-2.41
Pt 0.5243 0.8123 0.3850  3 Si 2.39-2.41
Pt 0.9757 0.1877 0.8850  3 Si 2.39-2.41
Pt 0.9757 0.3123 0.3850  3 Si 2.39-2.41

Calculated values
**Crystal system**: orthorhombic
**Space group**: No. 61
**Total magnetic moment**: 0.00 Bohr magnetons per cell
**Electronic total energy**: -39.834 eV/atom
**Raw formation energy**: -2.04 eV per formula unit



(2)
This record from Alexandria describes a crystal of SrY2Sc relaxed with PBEsol. The functional is meta-GGA SCAN.

Unit cell a=5.6664 b=5.6664 c=3.9646 alpha=90.00 beta=90.00 gamma=90.00
Last column: nearest neighbours and their distance in Å.
Fractional positions:
Sr 0.0000 0.0000 0.0000  8 Y 3.46
Y 0.0000 0.5000 0.5000  4 Sc 3.46, 4 Sr 3.46
Y 0.5000 0.0000 0.5000  4 Sc 3.46, 4 Sr 3.46
Sc 0.5000 0.5000 0.0000  8 Y 3.46

Calculated values
**Crystal system**: tetragonal
**Space group**: No. 123
**Total magnetic moment**: 0.31 Bohr magnetons per cell
**Electronic total energy**: -22.732 eV/atom
**Energy of formation**: 0.3179 eV/atom
**E above lowest polymorph**: 0.45 eV/f.u.



(3)
This record from Alexandria describes a crystal of Zr2Ge2Pd relaxed with PBEsol. The functional is meta-GGA SCAN.

Unit cell a=6.5739 b=6.5739 c=4.0327 alpha=90.00 beta=90.00 gamma=90.00
Last column: nearest neighbours and their distance in Å.
Fractional positions:
Zr 0.1727 0.3273 0.0000  6 Ge 2.71-2.86
Zr 0.3273 0.8273 0.0000  6 Ge 2.71-2.86
Zr 0.6727 0.1727 0.0000  6 Ge 2.71-2.86
Zr 0.8273 0.6727 0.0000  6 Ge 2.71-2.86
Ge 0.1330 0.6330 0.5000  1 Ge 2.47, 2 Pd 2.57, 2 Zr 2.71
Ge 0.3670 0.1330 0.5000  1 Ge 2.47, 2 Pd 2.57, 2 Zr 2.71
Ge 0.6330 0.8670 0.5000  1 Ge 2.47, 2 Pd 2.57, 2 Zr 2.71
Ge 0.8670 0.3670 0.5000  1 Ge 2.47, 2 Pd 2.57, 2 Zr 2.71
Pd 0.0000 0.0000 0.5000  4 Ge 2.57
Pd 0.5000 0.5000 0.5000  4 Ge 2.57

Calculated values
**Crystal system**: tetragonal
**Space group**: No. 127
**Total magnetic moment**: 0.00 Bohr magnetons per cell
**Electronic total energy**: -27.375 eV/atom
**Energy of formation**: -0.9059 eV/atom



(4)
This record from Alexandria describes a crystal of Tl3Cd relaxed with PBEsol. The functional is meta-GGA SCAN.

Unit cell a=4.7246 b=4.7246 c=4.7246 alpha=90.00 beta=90.00 gamma=90.00
Last column: nearest neighbours and their distance in Å.
Fractional positions:
Tl 0.0000 0.0000 0.5000  4 Cd 3.34, 8 Tl 3.34
Tl 0.0000 0.5000 0.0000  4 Cd 3.34, 8 Tl 3.34
Tl 0.5000 0.0000 0.0000  4 Cd 3.34, 8 Tl 3.34
Cd 0.5000 0.5000 0.5000  12 Tl 3.34

Calculated values
**Crystal system**: cubic
**Space group**: No. 221
**Total magnetic moment**: 0.00 Bohr magnetons per cell
**Electronic total energy**: -61.805 eV/atom
**Energy of formation**: 0.0669 eV/atom



(5)
This record from Alexandria describes a crystal of Be2CrFe relaxed with PBEsol. The functional is meta-GGA SCAN.

Unit cell a=2.6554 b=2.6554 c=5.2485 alpha=90.00 beta=90.00 gamma=90.00
Last column: nearest neighbours and their distance in Å.
Fractional positions:
Be 0.0000 0.0000 0.0000  4 Be 2.20, 4 Fe 2.31
Be 0.5000 0.5000 0.2186  4 Be 2.20, 4 Cr 2.40
Cr 0.0000 0.0000 0.5038  4 Fe 2.26, 4 Be 2.40
Fe 0.5000 0.5000 0.7448  4 Cr 2.26, 5 Be 2.31-2.49

Calculated values
**Crystal system**: tetragonal
**Space group**: No. 99
**Total magnetic moment**: 0.08 Bohr magnetons per cell
**Electronic total energy**: -11.306 eV/atom
**Energy of formation**: -0.0003 eV/atom
**E above lowest polymorph**: 0.38 eV/f.u.



(6)
This record from Alexandria describes a crystal of ScPtAu2 relaxed with PBEsol. The functional is meta-GGA SCAN.

Unit cell a=5.0202 b=5.0202 c=5.0202 alpha=133.05 beta=133.05 gamma=68.58
Last column: nearest neighbours and their distance in Å.
Fractional positions:
Sc 0.0000 0.0000 0.0000  8 Au 2.83-2.88, 4 Pt 2.88
Pt 0.7500 0.2500 0.5000  8 Au 2.83-2.88, 4 Sc 2.88
Au 0.2500 0.7500 0.5000  4 Pt 2.83, 4 Sc 2.88, 4 Au 2.88
Au 0.5000 0.5000 0.0000  4 Sc 2.83, 4 Pt 2.88, 4 Au 2.88

Calculated values
**Crystal system**: tetragonal
**Space group**: No. 119
**Total magnetic moment**: 0.00 Bohr magnetons per cell
**Electronic total energy**: -56.577 eV/atom
**Energy of formation**: -0.8909 eV/atom



(7)
This record from Alexandria describes a crystal of BaSc2Ta relaxed with PBEsol. The functional is meta-GGA SCAN.

Unit cell a=3.1139 b=3.1139 c=10.5454 alpha=90.00 beta=90.00 gamma=90.00
Last column: nearest neighbours and their distance in Å.
Fractional positions:
Ba 0.0000 0.0000 0.0000  4 Ba 3.11
Sc 0.0000 0.0000 0.5345  4 Ta 2.97, 8 Sc 3.11-3.32
Sc 0.5000 0.5000 0.2994  8 Sc 3.11-3.32
Ta 0.5000 0.5000 0.7241  4 Sc 2.97, 4 Ta 3.11

Calculated values
**Crystal system**: tetragonal
**Space group**: No. 99
**Total magnetic moment**: 1.22 Bohr magnetons per cell
**Electronic total energy**: -33.081 eV/atom
**Energy of formation**: 0.5708 eV/atom



(8)
This record from Alexandria describes a crystal of MnTlZn relaxed with PBEsol. The functional is meta-GGA SCAN.

Unit cell a=4.3491 b=4.3491 c=4.3491 alpha=60.00 beta=60.00 gamma=60.00
Last column: nearest neighbours and their distance in Å.
Fractional positions:
Mn 0.0000 0.0000 0.0000  4 Zn 2.66
Tl 0.5000 0.5000 0.5000  4 Zn 2.66
Zn 0.2500 0.2500 0.2500  4 Tl 2.66, 4 Mn 2.66

Calculated values
**Crystal system**: cubic
**Space group**: No. 216
**Total magnetic moment**: 4.18 Bohr magnetons per cell
**Electronic total energy**: -34.593 eV/atom
**Energy of formation**: 0.1162 eV/atom



(9)
This record from Alexandria describes a crystal of Ti2C relaxed with PBEsol. The functional is meta-GGA SCAN.

Unit cell a=6.0491 b=6.0491 c=6.0491 alpha=60.00 beta=60.00 gamma=60.00
Last column: nearest neighbours and their distance in Å.
Fractional positions:
Ti 0.2325 0.7558 0.7558  3 C 2.09
Ti 0.2442 0.2442 0.2442  3 C 2.09
Ti 0.2442 0.2442 0.7675  3 C 2.09
Ti 0.2442 0.7675 0.2442  3 C 2.09
Ti 0.7558 0.2325 0.7558  3 C 2.09
Ti 0.7558 0.7558 0.2325  3 C 2.09
Ti 0.7558 0.7558 0.7558  3 C 2.09
Ti 0.7675 0.2442 0.2442  3 C 2.09
C 0.0000 0.0000 0.0000  6 Ti 2.09
C 0.0000 0.0000 0.5000  6 Ti 2.09
C 0.0000 0.5000 0.0000  6 Ti 2.09
C 0.5000 0.0000 0.0000  6 Ti 2.09

Calculated values
**Crystal system**: cubic
**Space group**: No. 227
**Total magnetic moment**: 0.00 Bohr magnetons per cell
**Electronic total energy**: -14.789 eV/atom
**Energy of formation**: -0.7355 eV/atom



(10)
This record from Alexandria describes a crystal of Be2AgW relaxed with PBEsol. The functional is meta-GGA SCAN.

Unit cell a=4.0769 b=4.0769 c=4.0769 alpha=60.00 beta=60.00 gamma=60.00
Last column: nearest neighbours and their distance in Å.
Fractional positions:
Be 0.2500 0.2500 0.2500  4 W 2.50, 4 Ag 2.50
Be 0.7500 0.7500 0.7500  4 W 2.50, 4 Ag 2.50
Ag 0.0000 0.0000 0.0000  8 Be 2.50
W 0.5000 0.5000 0.5000  8 Be 2.50

Calculated values
**Crystal system**: cubic
**Space group**: No. 225
**Total magnetic moment**: 0.00 Bohr magnetons per cell
**Electronic total energy**: -26.966 eV/atom
**Energy of formation**: 0.4743 eV/atom
**E above lowest polymorph**: 0.07 eV/f.u.